Below is Fe2CuAgH after structural relaxation, with properties calculated at the PBE level.

Summary:
Density ... 8.49 Mg/m³
DFT total energy ... -26.09 eV for the cell shown

abc: 3.689 3.689 4.084
angles: 90.00 90.00 90.00
Space group P4/mmm (No. 123)
Unique sites:
1 Fe 0.000 0.500 0.000 (multiplicity 2)
2 Cu 0.000 0.000 0.500 (multiplicity 1)
3 Ag 0.500 0.500 0.500 (multiplicity 1)
4 H 0.000 0.000 0.000 (multiplicity 1)

---

Below is InFeCuAg2 after structural relaxation, with properties calculated at the PBE level.

Summary:
Density ... 6.17 Mg/m³
ΔH_f (0 K) ... 1223 meV per atom

abc: 5.076 5.076 4.698
angles: 90.00 90.00 90.00
Space group P4/mmm (No. 123)
Unique sites:
1 In 0.000 0.000 0.000 (multiplicity 1)
2 Fe 0.500 0.500 0.500 (multiplicity 1)
3 Cu 0.000 0.000 0.500 (multiplicity 1)
4 Ag 0.000 0.500 0.000 (multiplicity 2)

---

Below is Fe2CuAgIr after structural relaxation, with properties calculated at the PBE level.

Summary:
Density ... 8.31 Mg/m³
ΔH_f (0 K) ... 1771 meV per atom

abc: 4.598 4.598 4.491
angles: 90.00 90.00 90.00
Space group P4/mmm (No. 123)
Unique sites:
1 Fe 0.000 0.500 0.000 (multiplicity 2)
2 Cu 0.000 0.000 0.500 (multiplicity 1)
3 Ag 0.000 0.000 0.000 (multiplicity 1)
4 Ir 0.500 0.500 0.500 (multiplicity 1)

---

Below is LaFeCuAg2 after structural relaxation, with properties calculated at the PBE level.

Summary:
Density ... 7.03 Mg/m³
ΔH_f (0 K) ... 358 meV per atom

abc: 4.935 4.935 4.600
angles: 90.00 90.00 90.00
Space group P4/mmm (No. 123)
Unique sites:
1 La 0.000 0.000 0.000 (multiplicity 1)
2 Fe 0.500 0.500 0.500 (multiplicity 1)
3 Cu 0.500 0.500 0.000 (multiplicity 1)
4 Ag 0.000 0.500 0.500 (multiplicity 2)

---

Below is Li2FeCuAg after structural relaxation, with properties calculated at the PBE level.

Summary:
Density ... 4.00 Mg/m³
ΔH_f (0 K) ... 846 meV per atom

abc: 4.566 4.566 4.808
angles: 90.00 90.00 90.00
Space group P4/mmm (No. 123)
Unique sites:
1 Li 0.000 0.500 0.000 (multiplicity 2)
2 Fe 0.000 0.000 0.500 (multiplicity 1)
3 Cu 0.500 0.500 0.500 (multiplicity 1)
4 Ag 0.500 0.500 0.000 (multiplicity 1)

---

Below is FeCuAgPd after structural relaxation, with properties calculated at the PBE level.

Summary:
Density ... 9.51 Mg/m³
ΔH_f (0 K) ... 144 meV per atom

abc: 6.154 6.154 6.154
angles: 90.00 90.00 90.00
Space group F-43m (No. 216)
Unique sites:
1 Fe 0.000 0.000 0.000 (multiplicity 4)
2 Cu 0.000 0.000 0.500 (multiplicity 4)
3 Ag 0.250 0.250 0.250 (multiplicity 4)
4 Pd 0.250 0.250 0.750 (multiplicity 4)

---

Among the records above, which one has the lowest density?
Li2FeCuAg